The following is a PBE calculation of a relaxed structure of HoZr2UAs4, from Alexandria.

Cell: 3.955 6.882 6.887 Å, 109.15 90.00 90.00°
Last column: magnetic moment on the atom in μB.
Element x y z (fractional)
As: 0.000 0.246 0.739  -0.03
As: 0.500 0.255 0.260  -0.02
As: 0.500 0.745 0.740  -0.02
As: 0.000 0.754 0.261  -0.03
Ho: 0.000 0.000 0.000  0.01
U: 0.500 0.500 0.000  2.03
Zr: 0.500 0.000 0.500  -0.01
Zr: 0.000 0.500 0.500  0.05

Output
Its crystal system is monoclinic. For the volume, the calculation gives 22.1 Å³ per atom. The space-group type is P2/m (10). The value obtained for the energy relative to the elements is -1.14 eV per atom.

---

The following is a PBE calculation of a relaxed structure of Ho2VAs, from Alexandria.

Cell: 3.716 3.716 9.541 Å, 78.77 78.77 60.00°
Last column: magnetic moment on the atom in μB.
Element x y z (fractional)
As: 0.500 0.500 0.500  0.01
Ho: 0.104 0.104 0.689  0.01
Ho: 0.896 0.896 0.311  0.01
V: 0.000 0.000 0.000  2.82

Output
Its crystal system is trigonal. For the volume, the calculation gives 27.8 Å³ per atom. The space-group type is R-3m (166). The value obtained for the energy relative to the elements is 0.14 eV per atom.

---

The following is a PBE calculation of a relaxed structure of HoVAs3, from Alexandria.

Cell: 5.531 5.715 12.078 Å, 90.00 90.00 90.00°
Element x y z (fractional)
As: 0.500 0.250 0.499
As: 0.750 0.886 0.074
As: 0.250 0.614 0.074
As: 0.250 0.114 0.926
As: 0.000 0.750 0.501
As: 0.750 0.386 0.926
As: 0.750 0.999 0.779
As: 0.000 0.250 0.499
As: 0.500 0.750 0.501
As: 0.250 0.001 0.221
As: 0.750 0.499 0.221
As: 0.250 0.501 0.779
V: 0.000 0.250 0.088
V: 0.000 0.750 0.912
V: 0.500 0.250 0.088
V: 0.500 0.750 0.912
Ho: 0.750 0.496 0.685
Ho: 0.250 0.504 0.315
Ho: 0.750 0.996 0.315
Ho: 0.250 0.004 0.685

Output
Its crystal system is orthorhombic. For the volume, the calculation gives 19.1 Å³ per atom. The space-group type is Pbcm (57). The value obtained for the energy relative to the elements is -0.78 eV per atom.

---

The following is a PBE calculation of a relaxed structure of HoVAs2, from Alexandria.

Cell: 3.350 3.350 9.263 Å, 79.58 79.58 60.00°
Last column: magnetic moment on the atom in μB.
Element x y z (fractional)
As: 0.894 0.894 0.318  -0.02
As: 0.106 0.106 0.682  -0.02
Ho: 0.000 0.000 0.000  0.04
V: 0.500 0.500 0.500  0.62

Output
Its crystal system is trigonal. For the volume, the calculation gives 22.0 Å³ per atom. The space-group type is R-3m (166). The value obtained for the energy relative to the elements is -0.16 eV per atom.

---

The following is a PBE calculation of a relaxed structure of Y3HoAs4, from Alexandria.

Cell: 5.820 5.820 5.820 Å, 90.00 90.00 90.00°
Element x y z (fractional)
Y: 0.000 0.500 0.500
Y: 0.500 0.000 0.500
Y: 0.500 0.500 0.000
As: 0.500 0.500 0.500
As: 0.000 0.000 0.500
As: 0.500 0.000 0.000
As: 0.000 0.500 0.000
Ho: 0.000 0.000 0.000

Output
Its crystal system is cubic. For the volume, the calculation gives 24.6 Å³ per atom. The space-group type is Pm-3m (221). The value obtained for the energy relative to the elements is -1.55 eV per atom.

---

The following is a PBE calculation of a relaxed structure of Y2HoAs3, from Alexandria.

Cell: 4.119 5.818 7.128 Å, 114.09 106.79 90.00°
Element x y z (fractional)
As: 0.500 0.000 0.500
As: 0.166 0.666 0.831
As: 0.834 0.334 0.169
Ho: 0.500 0.500 0.500
Y: 0.167 0.167 0.834
Y: 0.833 0.833 0.166

Output
Its crystal system is orthorhombic. For the volume, the calculation gives 24.7 Å³ per atom. The space-group type is Immm (71). The value obtained for the energy relative to the elements is -1.55 eV per atom.

---

The following is a PBE calculation of a relaxed structure of YHo2As3, from Alexandria.

Cell: 4.111 5.808 7.114 Å, 114.09 106.79 90.00°
Element x y z (fractional)
Ho: 0.334 0.834 0.667
Ho: 0.666 0.166 0.333
As: 0.332 0.332 0.665
As: 0.668 0.668 0.335
As: 0.000 0.000 0.000
Y: 0.000 0.500 0.000

Output
Its crystal system is orthorhombic. For the volume, the calculation gives 24.5 Å³ per atom. The space-group type is Immm (71). The value obtained for the energy relative to the elements is -1.54 eV per atom.

---

The following is a PBE calculation of a relaxed structure of Y5Ho3As8, from Alexandria.

Cell: 8.228 8.228 8.229 Å, 60.00 60.00 60.00°
Element x y z (fractional)
Y: 0.500 0.500 0.500
Y: 0.000 0.000 0.000
Y: 0.500 0.000 0.000
Y: 0.000 0.500 0.000
Y: 0.500 0.500 0.000
Ho: 0.500 0.000 0.500
Ho: 0.000 0.500 0.500
Ho: 0.000 0.000 0.500
As: 0.249 0.249 0.252
As: 0.751 0.250 0.749
As: 0.750 0.249 0.251
As: 0.250 0.751 0.749
As: 0.250 0.250 0.749
As: 0.751 0.751 0.748
As: 0.750 0.750 0.251
As: 0.249 0.750 0.251

Output
Its crystal system is trigonal. For the volume, the calculation gives 24.6 Å³ per atom. The space-group type is R-3m (166). The value obtained for the energy relative to the elements is -1.55 eV per atom.

---

The following is a PBE calculation of a relaxed structure of Y4HoAs5, from Alexandria.

Cell: 4.120 5.824 10.894 Å, 105.51 100.90 90.00°
Element x y z (fractional)
Y: 0.600 0.600 0.200
Y: 0.800 0.800 0.600
Y: 0.200 0.200 0.400
Y: 0.400 0.400 0.800
As: 0.401 0.901 0.801
As: 0.200 0.700 0.400
As: 0.800 0.300 0.600
As: 0.599 0.099 0.199
As: 0.000 0.500 0.000
Ho: 0.000 0.000 0.000

Output
Its crystal system is orthorhombic. For the volume, the calculation gives 24.7 Å³ per atom. The space-group type is Immm (71). The value obtained for the energy relative to the elements is -1.55 eV per atom.

---

The following is a PBE calculation of a relaxed structure of YHo4As5, from Alexandria.

Cell: 5.806 7.110 7.110 Å, 80.40 65.90 65.90°
Element x y z (fractional)
As: 0.302 0.799 0.599
As: 0.501 0.000 0.000
As: 0.901 0.401 0.799
As: 0.700 0.201 0.401
As: 0.101 0.599 0.201
Ho: 0.201 0.200 0.400
Ho: 0.801 0.800 0.600
Ho: 0.401 0.400 0.800
Ho: 0.601 0.600 0.200
Y: 0.001 0.000 0.000

Output
Its crystal system is tetragonal. For the volume, the calculation gives 24.5 Å³ per atom. The space-group type is I4/m (87). The value obtained for the energy relative to the elements is -1.54 eV per atom.

---

The following is a PBE calculation of a relaxed structure of YHoZr2As4, from Alexandria.

Cell: 3.962 6.870 6.951 Å, 109.29 90.00 90.00°
Element x y z (fractional)
Zr: 0.000 0.500 0.500
Zr: 0.500 0.000 0.500
Ho: 0.500 0.500 0.000
As: 0.500 0.745 0.737
As: 0.500 0.255 0.263
As: 0.000 0.753 0.262
As: 0.000 0.247 0.738
Y: 0.000 0.000 0.000

Output
Its crystal system is monoclinic. For the volume, the calculation gives 22.3 Å³ per atom. The space-group type is P2/m (10). The value obtained for the energy relative to the elements is -1.32 eV per atom.

---

The following is a PBE calculation of a relaxed structure of Y2HoZrAs4, from Alexandria.

Cell: 4.042 7.004 7.005 Å, 109.30 90.00 90.00°
Element x y z (fractional)
Y: 0.500 0.000 0.500
Y: 0.000 0.500 0.500
Zr: 0.000 0.000 0.000
As: 0.500 0.241 0.239
As: 0.000 0.246 0.757
As: 0.500 0.759 0.761
As: 0.000 0.754 0.243
Ho: 0.500 0.500 0.000

Output
Its crystal system is monoclinic. For the volume, the calculation gives 23.4 Å³ per atom. The space-group type is P2/m (10). The value obtained for the energy relative to the elements is -1.44 eV per atom.

---

Among the records above, which one has the lowest volume? HoVAs3